Computed, not measured: a relaxed structure of SiTcBr2 at the PBE level of DFT.

Values from the calculation:
Formation energy without anion corrections: 0.11 eV per atom
V: 112.5 Å³/cell
ΔE to the lowest computed polymorph: 35.5 kJ/mol of atoms
M_tot: 0.0 μB per cell

a b c (Å): 4.605 4.605 8.729
angles (deg): 112.87 112.87 41.95
Positions (direct):
Si (0.000, 0.000, 0.000)
Tc (0.617, 0.617, 0.199)
Br (0.389, 0.389, 0.302)
Br (0.816, 0.816, 0.730)